#a
Entry from Alexandria via LeMat-Bulk: crystalline NdSm3Dy at its relaxed geometry (PBE-GGA).

Geometry as extended XYZ:
```
10
Lattice="-6.298 2.532 -3.176 -3.935 -10.068 -0.226 2.431 1.825 5.474" Properties=species:S:1:pos:R:3 pbc="T T T"
Sm -2.030 -2.186 2.281
Dy -3.990 -7.180 2.184
Sm -4.814 -6.826 -1.070
Sm -2.988 1.115 3.141
Sm -7.428 -5.775 -2.388
Nd -1.968 -5.034 -0.113
Nd 0.000 0.000 0.000
Dy -3.812 1.469 -0.113
Sm -5.772 -3.525 -0.209
Sm -0.374 0.064 4.460
```

Calculated values
- space-group type = No. 12

***

#b
Entry from Alexandria via LeMat-Bulk: crystalline NdSm3Dy at its relaxed geometry (PBE-GGA).

Geometry as extended XYZ:
```
10
Lattice="-0.118 0.238 3.631 -7.259 -4.416 -1.666 5.957 -10.115 0.857" Properties=species:S:1:pos:R:3 pbc="T T T"
Sm 3.455 -8.096 1.663
Sm -1.503 -0.672 2.721
Sm 1.461 -5.704 3.147
Sm -2.881 -8.590 -0.325
Nd -2.394 -4.605 2.700
Sm 0.082 -13.621 0.101
Dy -1.526 -11.018 1.792
Dy 0.105 -3.275 1.030
Nd 0.973 -9.688 0.123
Sm -4.876 -6.197 1.159
```

Calculated values
- space-group type = No. 11

***

Tell me which of them is the most stable. Sure, it is #a.

***

#a
Entry from Alexandria via LeMat-Bulk: crystalline NdSm4Dy5 at its relaxed geometry (PBE-GGA).

Geometry as extended XYZ:
```
10
Lattice="-2.988 1.013 -6.040 0.078 -4.767 -4.138 -9.173 -1.079 1.066" Properties=species:S:1:pos:R:3 pbc="T T T"
Nd -9.385 -5.212 -4.356
Sm -8.206 -1.942 -3.312
Sm -6.933 -3.436 -6.382
Dy -2.397 0.293 -4.147
Sm -4.859 -1.504 -2.141
Dy -1.496 -2.661 -2.359
Dy -10.320 -2.268 -6.165
Dy -5.731 -0.157 -5.326
Dy -6.037 -4.778 -3.185
Sm -3.585 -2.998 -5.225
```

Calculated values
- space-group type = No. 1

***

#b
Entry from Alexandria via LeMat-Bulk: crystalline NdSm4Dy5 at its relaxed geometry (PBE-GGA).

Geometry as extended XYZ:
```
10
Lattice="3.481 -0.001 -0.708 -0.126 11.125 -0.609 -0.026 0.462 8.805" Properties=species:S:1:pos:R:3 pbc="T T T"
Dy 2.804 5.307 4.892
Dy 2.852 0.903 5.111
Dy 0.524 6.279 2.595
Sm 2.236 2.921 2.099
Sm 0.008 8.349 0.041
Dy 1.677 5.562 -0.659
Sm 1.093 8.665 5.388
Sm 3.320 3.237 7.446
Nd 1.740 -0.001 -0.354
Dy 0.477 10.683 2.377
```

Calculated values
- space-group type = No. 12

***

Tell me which of them is the most stable. Sure, it is #a.

***

#a
Entry from Alexandria via LeMat-Bulk: crystalline Nd2Sm3Dy6 at its relaxed geometry (PBE-GGA).

Geometry as extended XYZ:
```
11
Lattice="4.769 0.000 0.000 0.000 4.769 0.000 -2.384 -2.384 16.681" Properties=species:S:1:pos:R:3 pbc="T T T"
Dy 2.384 0.000 12.630
Sm 0.000 0.000 6.747
Sm 0.000 0.000 0.000
Dy 2.384 2.384 6.499
Sm 2.384 2.384 9.934
Nd 2.384 2.384 1.541
Nd 0.000 0.000 15.141
Dy 0.000 2.384 4.052
Dy 0.000 2.384 12.630
Dy 0.000 0.000 10.182
Dy 2.384 0.000 4.052
```

Calculated values
- space-group type = No. 139

***

#b
Entry from Alexandria via LeMat-Bulk: crystalline Nd2Sm3Dy6 at its relaxed geometry (PBE-GGA).

Geometry as extended XYZ:
```
11
Lattice="5.907 0.000 1.767 2.953 5.350 0.884 -1.317 0.000 11.657" Properties=species:S:1:pos:R:3 pbc="T T T"
Sm 2.953 1.758 0.884
Sm 0.000 0.000 0.000
Dy 4.102 1.782 4.234
Dy 1.151 0.000 3.347
Dy 3.439 0.000 10.077
Sm 5.907 3.591 1.767
Nd 2.295 3.567 6.712
Dy 7.055 3.568 5.117
Dy 0.487 1.782 9.191
Nd 5.248 1.783 7.596
Dy 3.441 3.568 10.074
```

Calculated values
- space-group type = No. 12

***

Tell me which of them is the most stable. Sure, it is #b.

***

#a
Entry from Alexandria via LeMat-Bulk: crystalline Nd5Sm4Dy2 at its relaxed geometry (PBE-GGA).

Geometry as extended XYZ:
```
11
Lattice="-0.758 -2.948 1.750 -3.370 -3.555 -7.447 11.799 -2.380 -2.421" Properties=species:S:1:pos:R:3 pbc="T T T"
Sm 7.858 -7.249 -5.284
Dy 8.057 -5.576 -2.381
Nd 4.864 -7.393 -6.823
Nd 5.174 -4.186 -1.289
Nd 2.806 -1.491 -1.295
Nd -0.379 -1.474 0.875
Sm 5.612 -4.375 -4.938
Sm -0.188 -1.635 -2.835
Dy -0.387 -3.307 -5.738
Nd 2.496 -4.697 -6.830
Sm 2.058 -4.508 -3.180
```

Calculated values
- space-group type = No. 12

***

#b
Entry from Alexandria via LeMat-Bulk: crystalline Nd5Sm4Dy2 at its relaxed geometry (PBE-GGA).

Geometry as extended XYZ:
```
11
Lattice="-2.215 -1.313 -2.433 6.562 -6.121 -2.672 -6.206 -4.034 10.405" Properties=species:S:1:pos:R:3 pbc="T T T"
Dy -2.176 -4.182 4.237
Sm 1.396 -5.211 -1.038
Nd 0.130 -3.559 1.802
Sm 1.990 -1.856 -0.810
Sm -3.255 -6.256 6.339
Nd -1.989 -7.908 3.499
Sm 4.573 -4.265 -1.862
Nd -1.107 -0.656 -1.216
Nd 4.024 -7.191 0.217
Dy 0.317 -7.285 1.063
Nd -5.882 -4.276 5.084
```

Calculated values
- space-group type = No. 71

***

Tell me which of them is the most stable. Sure, it is #a.

***

#a
Entry from Alexandria via LeMat-Bulk: crystalline NdSm4Dy6 at its relaxed geometry (PBE-GGA).

Geometry as extended XYZ:
```
11
Lattice="6.134 0.833 -7.524 -4.715 -6.843 5.086 -9.517 0.610 1.996" Properties=species:S:1:pos:R:3 pbc="T T T"
Dy -5.654 -3.137 1.218
Nd 0.000 0.000 0.000
Sm -10.224 -5.630 2.306
Dy -9.784 -2.581 3.891
Sm -6.112 0.295 1.337
Dy -1.691 0.722 -2.764
Dy 0.710 -3.005 -1.219
Dy -8.072 -5.239 4.994
Sm -2.868 -1.957 -0.264
Dy 1.181 -0.675 -3.464
Sm -3.126 -4.341 3.259
```

Calculated values
- space-group type = No. 121

***

#b
Entry from Alexandria via LeMat-Bulk: crystalline NdSm4Dy6 at its relaxed geometry (PBE-GGA).

Geometry as extended XYZ:
```
11
Lattice="-4.921 -5.064 -3.150 5.821 -3.190 -3.965 0.641 0.008 8.475" Properties=species:S:1:pos:R:3 pbc="T T T"
Dy 3.518 -5.195 -1.931
Sm 0.318 -2.033 -0.477
Dy 0.909 -4.633 1.326
Dy 2.911 -1.595 -1.982
Dy -1.806 -6.123 -1.527
Dy 0.463 -0.542 4.852
Sm -2.605 -4.115 4.445
Sm 4.460 -2.883 3.909
Nd 0.450 -4.127 -3.558
Dy -2.460 -2.532 -1.575
Sm 0.911 -7.462 -5.157
```

Calculated values
- space-group type = No. 121

***

Tell me which of them is the most stable. Sure, it is #a.

***

#a
Entry from Alexandria via LeMat-Bulk: crystalline Nd2Sm3Dy5 at its relaxed geometry (PBE-GGA).

Geometry as extended XYZ:
```
20
Lattice="6.863 0.000 0.000 3.431 11.555 2.868 3.431 5.831 10.379" Properties=species:S:1:pos:R:3 pbc="T T T"
Dy 5.147 13.018 9.919
Sm 10.294 12.364 6.473
Sm 3.431 5.022 6.775
Dy 8.579 8.693 6.624
Nd 6.863 14.616 12.344
Dy 6.863 11.371 7.615
Dy 10.294 10.359 8.942
Dy 3.431 7.027 4.305
Sm 6.863 9.522 10.203
Nd 10.294 15.780 10.817
Dy 8.579 4.368 3.328
Sm 1.716 0.000 0.000
Sm 6.863 7.865 3.044
Dy 5.147 8.693 6.624
Sm 5.147 0.000 0.000
Nd 6.863 2.770 0.904
Nd 3.431 1.606 2.431
Dy 6.863 6.015 5.633
Dy 5.147 4.368 3.328
Dy 8.579 13.018 9.919
```

Calculated values
- space-group type = No. 72

***

#b
Entry from Alexandria via LeMat-Bulk: crystalline Nd2Sm3Dy5 at its relaxed geometry (PBE-GGA).

Geometry as extended XYZ:
```
20
Lattice="8.392 1.539 -3.893 0.294 8.487 -3.988 -1.686 -1.820 10.932" Properties=species:S:1:pos:R:3 pbc="T T T"
Dy 2.380 4.790 -2.613
Dy 3.430 6.052 0.149
Dy 3.571 2.154 2.901
Nd 1.751 8.250 -1.995
Sm -0.040 6.185 -0.462
Nd 2.892 5.553 3.386
Dy 6.160 5.134 2.358
Dy 5.007 7.815 -3.057
Dy 7.506 2.611 0.270
Dy 4.621 3.416 5.664
Sm 7.041 2.022 3.513
Dy -0.506 5.595 2.781
Sm 0.602 6.926 5.696
Sm 5.849 4.657 -2.003
Dy 0.840 3.072 0.693
Nd 4.109 2.653 -0.335
Nd 5.249 -0.044 5.046
Sm 6.398 1.280 -2.645
Dy 1.994 0.391 6.108
Sm 1.151 3.549 5.054
```

Calculated values
- space-group type = No. 15

***

Tell me which of them is the most stable. Sure, it is #b.

***

#a
Entry from Alexandria via LeMat-Bulk: crystalline Nd3Sm7Dy at its relaxed geometry (PBE-GGA).

Geometry as extended XYZ:
```
11
Lattice="-0.706 5.134 2.925 4.951 -5.338 4.515 6.878 0.399 -5.091" Properties=species:S:1:pos:R:3 pbc="T T T"
Sm 8.809 0.154 1.860
Sm 2.772 -1.643 3.555
Sm 3.916 1.760 -2.143
Sm 2.314 0.040 0.488
Sm 7.208 -1.566 4.492
Nd -0.353 2.567 1.462
Nd 5.356 -4.131 2.494
Dy 5.562 0.097 1.174
Sm 8.351 1.838 -1.207
Nd 6.473 -0.808 -3.070
Sm 5.915 -2.470 -0.288
```

Calculated values
- space-group type = No. 71

***

#b
Entry from Alexandria via LeMat-Bulk: crystalline Nd3Sm7Dy at its relaxed geometry (PBE-GGA).

Geometry as extended XYZ:
```
11
Lattice="6.470 0.008 0.425 0.417 7.711 1.080 -0.015 0.026 7.797" Properties=species:S:1:pos:R:3 pbc="T T T"
Sm 5.003 4.439 8.062
Sm 5.151 7.074 5.759
Nd 0.342 6.383 2.241
Nd 3.235 0.004 0.212
Sm 0.201 3.869 4.438
Sm 1.686 5.883 6.838
Sm 1.721 0.672 3.542
Sm 5.186 1.863 2.464
Dy 3.436 3.873 4.651
Sm 1.869 3.307 1.239
Nd 6.530 1.362 7.061
```

Calculated values
- space-group type = No. 12

***

Tell me which of them is the most stable. Sure, it is #b.

***

#a
Entry from Alexandria via LeMat-Bulk: crystalline Nd2Sm3Dy at its relaxed geometry (PBE-GGA).

Geometry as extended XYZ:
```
12
Lattice="3.724 0.000 0.000 0.000 8.522 0.946 0.000 -1.438 12.780" Properties=species:S:1:pos:R:3 pbc="T T T"
Nd 0.931 7.612 2.276
Nd 0.931 2.329 6.030
Dy 2.793 1.273 3.356
Sm 0.931 7.236 5.848
Nd 2.793 -0.528 11.449
Sm 2.793 4.783 3.750
Nd 2.793 4.755 7.696
Sm 2.793 4.162 12.729
Sm 0.931 2.302 9.976
Sm 2.793 -0.151 7.878
Dy 0.931 5.811 10.370
Sm 0.931 2.922 0.997
```

Calculated values
- space-group type = No. 11

***

#b
Entry from Alexandria via LeMat-Bulk: crystalline Nd2Sm3Dy at its relaxed geometry (PBE-GGA).

Geometry as extended XYZ:
```
12
Lattice="-1.910 -2.609 -5.963 4.634 -6.811 -6.203 -6.187 -7.939 -2.244" Properties=species:S:1:pos:R:3 pbc="T T T"
Sm -1.320 -10.260 -6.583
Nd 1.234 -6.143 -7.356
Nd 0.087 -11.923 -12.136
Nd -3.550 -5.437 -2.274
Dy 0.000 0.000 0.000
Dy -0.955 -1.305 -2.982
Sm -1.154 -5.792 -4.858
Nd -4.697 -11.217 -7.055
Sm 0.344 -9.066 -9.630
Sm -2.309 -11.568 -9.552
Sm -3.807 -8.294 -4.780
Sm -2.144 -7.100 -7.827
```

Calculated values
- space-group type = No. 15

***

Tell me which of them is the most stable. Sure, it is #a.

***

#a
Entry from Alexandria via LeMat-Bulk: crystalline NdSm6Dy at its relaxed geometry (PBE-GGA).

Geometry as extended XYZ:
```
8
Lattice="-3.779 -2.089 -2.756 -0.557 -3.661 3.538 -6.824 5.819 4.946" Properties=species:S:1:pos:R:3 pbc="T T T"
Dy -3.412 2.909 2.473
Sm -2.168 -2.875 0.391
Nd 0.000 0.000 0.000
Sm -6.993 3.308 2.321
Sm -3.610 0.423 -0.131
Sm -1.999 -0.364 3.016
Sm -5.382 2.521 5.468
Sm -5.580 0.035 2.864
```

Calculated values
- space-group type = No. 123

***

#b
Entry from Alexandria via LeMat-Bulk: crystalline NdSm6Dy at its relaxed geometry (PBE-GGA).

Geometry as extended XYZ:
```
8
Lattice="5.416 1.040 -3.460 -0.866 6.452 0.060 -2.602 -0.067 9.370" Properties=species:S:1:pos:R:3 pbc="T T T"
Sm 0.700 3.859 4.742
Sm 2.892 6.274 -0.002
Sm -0.944 1.151 5.971
Dy 1.407 0.486 2.955
Sm 3.783 3.101 -1.103
Sm 1.248 3.566 1.227
Nd 0.000 0.000 0.000
Sm -1.835 4.324 7.073
```

Calculated values
- space-group type = No. 12

***

Tell me which of them is the most stable. Sure, it is #a.

***

#a
Entry from Alexandria via LeMat-Bulk: crystalline NdSm6Dy12 at its relaxed geometry (PBE-GGA).

Geometry as extended XYZ:
```
19
Lattice="-7.758 3.594 -0.571 -2.043 -5.026 -6.633 -3.322 -5.898 5.254" Properties=species:S:1:pos:R:3 pbc="T T T"
Sm -4.472 -3.582 2.865
Dy -5.458 -2.519 -2.801
Dy -6.351 -1.821 0.581
Dy -9.657 -7.315 -2.767
Dy -1.694 -3.097 0.472
Dy -10.742 -6.230 0.459
Dy -3.467 -0.015 0.817
Sm -6.962 -7.970 -0.320
Sm -10.160 -2.678 1.305
Dy -2.381 -1.100 -2.409
Sm -8.652 -3.749 -4.815
Nd 0.000 0.000 0.000
Dy -8.558 -2.524 -1.737
Dy -11.430 -4.233 -2.422
Sm -6.162 0.640 -1.630
Dy -6.773 -5.509 -2.532
Sm -2.964 -4.653 -3.255
Dy -7.665 -4.811 0.851
Dy -4.565 -4.806 -0.213
```

Calculated values
- space-group type = No. 148

***

#b
Entry from Alexandria via LeMat-Bulk: crystalline NdSm6Dy12 at its relaxed geometry (PBE-GGA).

Geometry as extended XYZ:
```
19
Lattice="-3.580 6.212 4.983 1.243 -6.067 6.154 8.131 3.156 -0.396" Properties=species:S:1:pos:R:3 pbc="T T T"
Dy 5.916 0.863 3.984
Sm 4.529 6.351 6.254
Dy 2.750 3.827 8.281
Dy -0.122 2.438 6.757
Dy 5.958 2.990 6.808
Dy 4.672 4.028 3.682
Dy 4.071 0.464 8.602
Dy -0.164 0.311 3.933
Dy 1.654 4.816 5.069
Sm 7.213 -0.482 6.906
Sm 0.696 1.218 9.899
Dy 4.140 -1.515 5.673
Dy 1.723 2.837 2.139
Dy 3.044 -0.526 2.460
Sm 5.098 2.083 0.842
Sm -1.419 3.783 3.835
Sm 1.265 -3.050 4.487
Nd 0.000 0.000 0.000
Dy 1.122 -0.727 7.059
```

Calculated values
- space-group type = No. 166

***

Tell me which of them is the most stable. Sure, it is #a.